Entry 1:
Here is an optimized crystal structure of Y3Sc from Alexandria via LeMat-Bulk. Energies are from GGA-PBE.

a b c (Å): 6.0406 6.0406 3.5096
angles (deg): 90.00 90.00 109.22
Atoms (fractional coordinates):
Y 0.0000 0.0000 0.0000
Y 0.0000 0.5000 0.5000
Y 0.5000 0.0000 0.5000
Sc 0.5000 0.5000 0.0000

- Energy relative to the lowest polymorph listed for this composition: 38 meV/atom
- Formation energy: 55 meV/atom
- Spin magnetization: 0.0 μB/f.u.

Entry 2:
Here is an optimized crystal structure of Y2Sc from Alexandria via LeMat-Bulk. Energies are from GGA-PBE.

a b c (Å): 3.4820 3.4820 8.4461
angles (deg): 90.00 90.00 120.00
Atoms (fractional coordinates):
Y 0.3333 0.6667 0.3228
Y 0.6667 0.3333 0.6772
Sc 0.0000 0.0000 0.0000

- Energy relative to the lowest polymorph listed for this composition: 40 meV/atom
- Formation energy: 61 meV/atom
- Spin magnetization: 0.0 μB/f.u.

Entry 3:
Here is an optimized crystal structure of Y3Sc from Alexandria via LeMat-Bulk. Energies are from GGA-PBE.

a b c (Å): 6.3335 6.3335 6.3335
angles (deg): 90.00 90.00 90.00
Atoms (fractional coordinates):
Y 0.0000 0.2500 0.5000
Y 0.0000 0.7500 0.5000
Y 0.2500 0.5000 0.0000
Y 0.5000 0.0000 0.2500
Y 0.5000 0.0000 0.7500
Y 0.7500 0.5000 0.0000
Sc 0.0000 0.0000 0.0000
Sc 0.5000 0.5000 0.5000

- Energy relative to the lowest polymorph listed for this composition: 211 meV/atom
- Formation energy: 228 meV/atom
- Spin magnetization: 3.7 μB/f.u.

Entry 4:
Here is an optimized crystal structure of YSc from Alexandria via LeMat-Bulk. Energies are from GGA-PBE.

a b c (Å): 3.4734 3.4734 10.8951
angles (deg): 90.00 90.00 120.00
Atoms (fractional coordinates):
Y 0.3333 0.6667 0.2500
Y 0.6667 0.3333 0.7500
Sc 0.0000 0.0000 0.0000
Sc 0.0000 0.0000 0.5000

- Energy relative to the lowest polymorph listed for this composition: 41 meV/atom
- Formation energy: 63 meV/atom
- Spin magnetization: 0.0 μB/f.u.

Entry 5:
Here is an optimized crystal structure of YSc5 from Alexandria via LeMat-Bulk. Energies are from GGA-PBE.

a b c (Å): 5.8405 5.8405 5.2488
angles (deg): 90.00 90.00 120.00
Atoms (fractional coordinates):
Y 0.0000 0.0000 0.0000
Sc 0.0000 0.6569 0.5000
Sc 0.3333 0.6667 0.0000
Sc 0.3431 0.3431 0.5000
Sc 0.6569 0.0000 0.5000
Sc 0.6667 0.3333 0.0000

- Energy relative to the lowest polymorph listed for this composition: 1 meV/atom
- Formation energy: 19 meV/atom
- Spin magnetization: 1.4 μB/f.u.

Entry 6:
Here is an optimized crystal structure of Y2Sc from Alexandria via LeMat-Bulk. Energies are from GGA-PBE.

a b c (Å): 6.6737 5.4399 9.8354
angles (deg): 90.00 90.00 90.00
Atoms (fractional coordinates):
Y 0.0410 0.2500 0.2187
Y 0.1949 0.2500 0.5554
Y 0.3051 0.7500 0.0554
Y 0.4590 0.7500 0.7187
Y 0.5410 0.2500 0.2813
Y 0.6949 0.2500 0.9446
Y 0.8051 0.7500 0.4446
Y 0.9590 0.7500 0.7813
Sc 0.2027 0.2500 0.8824
Sc 0.2973 0.7500 0.3824
Sc 0.7027 0.2500 0.6176
Sc 0.7973 0.7500 0.1176

- Energy relative to the lowest polymorph listed for this composition: 52 meV/atom
- Formation energy: 73 meV/atom
- Spin magnetization: 0.0 μB/f.u.

Please write out number 4 again, unchanged.
Here is an optimized crystal structure of YSc from Alexandria via LeMat-Bulk. Energies are from GGA-PBE.

a b c (Å): 3.4734 3.4734 10.8951
angles (deg): 90.00 90.00 120.00
Atoms (fractional coordinates):
Y 0.3333 0.6667 0.2500
Y 0.6667 0.3333 0.7500
Sc 0.0000 0.0000 0.0000
Sc 0.0000 0.0000 0.5000

- Energy relative to the lowest polymorph listed for this composition: 41 meV/atom
- Formation energy: 63 meV/atom
- Spin magnetization: 0.0 μB/f.u.

Question: Which value of formation energy does entry 1 give?
Answer: 55 meV/atom

Question: Among the records above, which one has the highest formation energy?
Answer: number 3

Question: The lowest energy relative to the lowest polymorph listed for this composition belongs to which entry?
Answer: YSc5